(1)
Here is a relaxed BaBSN2 crystal from the Alexandria database. Energies are from GGA-PBEsol.

a = 4.001 Å, b = 4.001 Å, c = 4.088 Å
α = 90.00°, β = 90.00°, γ = 90.00°
Element x y z (fractional)
Ba1 0.000 0.000 0.000
B1 0.500 0.500 0.500
S1 0.500 0.500 0.000
N1 0.000 0.500 0.500
N2 0.500 0.000 0.500

The uncorrected formation energy comes out at 0.771 eV/atom. The total magnetic moment comes out at 0.6 μB/f.u.



(2)
Here is a relaxed BaBSe2N crystal from the Alexandria database. Energies are from GGA-PBEsol.

a = 6.024 Å, b = 6.024 Å, c = 5.106 Å
α = 90.00°, β = 90.00°, γ = 90.00°
Element x y z (fractional)
Ba1 0.000 0.000 0.000
B1 0.500 0.500 0.500
Se1 0.000 0.500 0.000
Se2 0.500 0.000 0.000
N1 0.000 0.000 0.500

The uncorrected formation energy comes out at 1.887 eV/atom. The total magnetic moment comes out at 3.8 μB/f.u.



(3)
Here is a relaxed Ba8SrB6N12 crystal from the Alexandria database. Energies are from GGA-PBEsol.

a = 7.939 Å, b = 7.939 Å, c = 7.939 Å
α = 90.00°, β = 90.00°, γ = 90.00°
Element x y z (fractional)
Ba1 0.238 0.238 0.238
Ba2 0.238 0.238 0.762
Ba3 0.238 0.762 0.238
Ba4 0.238 0.762 0.762
Ba5 0.762 0.238 0.238
Ba6 0.762 0.238 0.762
Ba7 0.762 0.762 0.238
Ba8 0.762 0.762 0.762
Sr1 0.500 0.500 0.500
B1 0.000 0.000 0.500
B2 0.000 0.500 0.000
B3 0.000 0.500 0.500
B4 0.500 0.000 0.000
B5 0.500 0.000 0.500
B6 0.500 0.500 0.000
N1 0.000 0.000 0.330
N2 0.000 0.000 0.670
N3 0.000 0.330 0.000
N4 0.000 0.670 0.000
N5 0.171 0.500 0.500
N6 0.330 0.000 0.000
N7 0.500 0.171 0.500
N8 0.500 0.500 0.171
N9 0.500 0.500 0.829
N10 0.500 0.829 0.500
N11 0.670 0.000 0.000
N12 0.829 0.500 0.500

The uncorrected formation energy comes out at -1.084 eV/atom. The total magnetic moment comes out at 0.0 μB/f.u.



(4)
Here is a relaxed Ba3NaB24 crystal from the Alexandria database. Energies are from GGA-PBEsol.

a = 4.231 Å, b = 4.231 Å, c = 16.902 Å
α = 90.00°, β = 90.00°, γ = 90.00°
Element x y z (fractional)
Ba1 0.000 0.000 0.000
Ba2 0.000 0.000 0.254
Ba3 0.000 0.000 0.746
Na1 0.000 0.000 0.500
B1 0.202 0.500 0.378
B2 0.202 0.500 0.622
B3 0.204 0.500 0.126
B4 0.204 0.500 0.874
B5 0.500 0.202 0.378
B6 0.500 0.202 0.622
B7 0.500 0.204 0.126
B8 0.500 0.204 0.874
B9 0.500 0.500 0.051
B10 0.500 0.500 0.200
B11 0.500 0.500 0.303
B12 0.500 0.500 0.451
B13 0.500 0.500 0.549
B14 0.500 0.500 0.697
B15 0.500 0.500 0.800
B16 0.500 0.500 0.949
B17 0.500 0.796 0.126
B18 0.500 0.796 0.874
B19 0.500 0.798 0.378
B20 0.500 0.798 0.622
B21 0.796 0.500 0.126
B22 0.796 0.500 0.874
B23 0.798 0.500 0.378
B24 0.798 0.500 0.622

The calculation puts the formation energy at -326 meV per atom. The total magnetic moment comes out at 0.0 μB/f.u.



(5)
Here is a relaxed BaNaBO3 crystal from the Alexandria database. Energies are from GGA-PBEsol.

a = 5.533 Å, b = 5.533 Å, c = 6.152 Å
α = 98.16°, β = 98.16°, γ = 60.29°
Element x y z (fractional)
Ba1 0.167 0.167 0.241
Ba2 0.833 0.833 0.759
Na1 0.500 0.500 0.000
Na2 0.500 0.500 0.500
B1 0.167 0.167 0.751
B2 0.833 0.833 0.249
O1 0.113 0.683 0.208
O2 0.297 0.297 0.677
O3 0.317 0.887 0.792
O4 0.683 0.113 0.208
O5 0.703 0.703 0.323
O6 0.887 0.317 0.792

The uncorrected formation energy comes out at -2.525 eV/atom. The total magnetic moment comes out at 0.0 μB/f.u.



(6)
Here is a relaxed BaNaB9O15 crystal from the Alexandria database. Energies are from GGA-PBEsol.

a = 8.695 Å, b = 8.695 Å, c = 8.695 Å
α = 79.56°, β = 79.56°, γ = 79.56°
Element x y z (fractional)
Ba1 0.000 0.000 0.000
Ba2 0.500 0.500 0.500
Na1 0.277 0.277 0.277
Na2 0.777 0.777 0.777
B1 0.057 0.562 0.706
B2 0.062 0.557 0.206
B3 0.159 0.279 0.714
B4 0.206 0.062 0.557
B5 0.214 0.779 0.659
B6 0.222 0.880 0.373
B7 0.279 0.714 0.159
B8 0.373 0.222 0.880
B9 0.380 0.722 0.873
B10 0.557 0.206 0.062
B11 0.562 0.706 0.057
B12 0.659 0.214 0.779
B13 0.706 0.057 0.562
B14 0.714 0.159 0.279
B15 0.722 0.873 0.380
B16 0.779 0.659 0.214
B17 0.873 0.380 0.722
B18 0.880 0.373 0.222
O1 0.034 0.402 0.211
O2 0.070 0.710 0.727
O3 0.181 0.946 0.683
O4 0.183 0.446 0.681
O5 0.202 0.858 0.227
O6 0.210 0.570 0.227
O7 0.211 0.034 0.402
O8 0.227 0.202 0.858
O9 0.227 0.210 0.570
O10 0.253 0.757 0.491
O11 0.257 0.753 0.991
O12 0.358 0.702 0.727
O13 0.402 0.211 0.034
O14 0.446 0.681 0.183
O15 0.491 0.253 0.757
O16 0.534 0.711 0.902
O17 0.570 0.227 0.210
O18 0.681 0.183 0.446
O19 0.683 0.181 0.946
O20 0.702 0.727 0.358
O21 0.710 0.727 0.070
O22 0.711 0.902 0.534
O23 0.727 0.070 0.710
O24 0.727 0.358 0.702
O25 0.753 0.991 0.257
O26 0.757 0.491 0.253
O27 0.858 0.227 0.202
O28 0.902 0.534 0.711
O29 0.946 0.683 0.181
O30 0.991 0.257 0.753

The uncorrected formation energy comes out at -2.544 eV/atom. The total magnetic moment comes out at 0.0 μB/f.u.



no.,D(E_F) (states/eV/cell)
1,3.51
2,5.03
3,0.00
4,3.05
5,0.00
6,0.00